(1)
5
Lattice="5.315 0.000 0.000 0.000 5.315 0.000 0.000 0.000 5.094" Properties=species:S:1:pos:R:3 comment="PBE Sr2CaInH, relaxed" rho_kg_m3=3821 final_energy_ev_per_cell=-13.06 dos_at_fermi_per_ev_atom=0.4835 spacegroup="P4/mmm, No. 123" volume_a3_per_atom=28.8 pbc="T T T"
Sr 0.000 2.657 0.000
Sr 2.657 0.000 0.000
Ca 0.000 0.000 2.547
In 2.657 2.657 2.547
H 0.000 0.000 0.000

(2)
17
Lattice="-4.688 4.688 4.688 4.688 -4.688 4.688 4.688 4.688 -4.688" Properties=species:S:1:pos:R:3 comment="PBE Ac4Bi6Rh7, relaxed" rho_kg_m3=11616 final_energy_ev_per_cell=-100.37 dos_at_fermi_per_ev_atom=0.6161 spacegroup="Im-3m, No. 229" ef_kj_per_mol_fu=-887 volume_a3_per_atom=24.2 pbc="T T T"
Ac 2.344 2.344 -2.344
Ac 2.344 -2.344 2.344
Ac -2.344 2.344 2.344
Ac 2.344 2.344 2.344
Bi 3.026 0.000 0.000
Bi 6.350 0.000 0.000
Bi 0.000 3.026 0.000
Bi 0.000 0.000 3.026
Bi 0.000 6.350 0.000
Bi 0.000 0.000 6.350
Rh 0.000 0.000 0.000
Rh 4.688 2.344 0.000
Rh 4.688 0.000 2.344
Rh 2.344 4.688 0.000
Rh 2.344 0.000 4.688
Rh 0.000 4.688 2.344
Rh 0.000 2.344 4.688

(3)
4
Lattice="0.000 3.880 3.880 3.880 0.000 3.880 3.880 3.880 0.000" Properties=species:S:1:pos:R:3 comment="PBE Na2CdBr, relaxed" rho_kg_m3=3387 final_energy_ev_per_cell=-7.26 dos_at_fermi_per_ev_atom=0.4117 spacegroup="Fm-3m, No. 225" e_form_raw_ev_per_atom=-0.5075 volume_a3_per_atom=29.2 pbc="T T T"
Na 1.940 1.940 1.940
Na 5.820 5.820 5.820
Cd 0.000 0.000 0.000
Br 3.880 3.880 3.880

(4)
8
Lattice="6.749 0.000 0.000 0.000 3.917 0.000 -2.270 0.000 6.439" Properties=species:S:1:pos:R:3 comment="PBE CeTmNp2S4, relaxed" rho_kg_m3=8890 final_energy_ev_per_cell=-66.33 dos_at_fermi_per_ev_atom=1.9211 spacegroup="P2/m, No. 10" e_form_raw_ev_per_atom=-1.6922 volume_a3_per_atom=21.3 pbc="T T T"
Ce 0.000 0.000 0.000
Tm -1.135 1.958 3.219
Np 2.239 0.000 3.219
Np 3.375 1.958 0.000
S -0.005 0.000 4.783
S 1.136 1.958 1.669
S 3.342 1.958 4.770
S 4.484 0.000 1.656